# ScV2CdO8 (PBE with a Hubbard U, optimized geometry)
# * calculated total energy: -7.048 eV/atom
# * density: 4.10 g/cm3
data_ScV2CdO8
_chemical_formula_sum 'Sc1 V2 Cd1 O8'
_symmetry_space_group_name_H-M 'P 1'
_symmetry_Int_Tables_number 1
_cell_length_a 5.900
_cell_length_b 5.900
_cell_length_c 5.900
_cell_angle_alpha 106.54
_cell_angle_beta 106.54
_cell_angle_gamma 115.51
loop_
_symmetry_equiv_pos_as_xyz
'x,y,z'
loop_
_atom_site_label
_atom_site_fract_x
_atom_site_fract_y
_atom_site_fract_z
_atom_site_occupancy
O1 0.751 0.067 0.684 1
O2 0.861 0.659 0.202 1
O3 0.933 0.618 0.684 1
O4 0.341 0.543 0.202 1
O5 0.933 0.249 0.316 1
O6 0.457 0.659 0.798 1
O7 0.341 0.139 0.798 1
O8 0.382 0.067 0.316 1
V1 0.750 0.250 0.500 1
V2 0.500 0.500 0.000 1
Cd1 0.000 0.000 0.000 1
Sc1 0.250 0.750 0.500 1